# 1
# Cs2KHgPb | Alexandria via LeMat-Bulk | GGA-PBE | optimized geometry
# polymorph energy (0 for the lowest one): 0 meV/atom
data_Cs2KHgPb
_chemical_formula_sum 'Cs2 K1 Hg1 Pb1'
_symmetry_space_group_name_H-M 'P 1'
_symmetry_Int_Tables_number 1
_cell_length_a 7.1819
_cell_length_b 7.1819
_cell_length_c 6.0344
_cell_angle_alpha 90.00
_cell_angle_beta 90.00
_cell_angle_gamma 90.00
loop_
_symmetry_equiv_pos_as_xyz
'x,y,z'
loop_
_atom_site_label
_atom_site_type_symbol
_atom_site_fract_x
_atom_site_fract_y
_atom_site_fract_z
Cs1 Cs 0.0000 0.5000 0.0000
Cs2 Cs 0.5000 0.0000 0.0000
K1 K 0.0000 0.0000 0.5000
Hg1 Hg 0.5000 0.5000 0.0000
Pb1 Pb 0.5000 0.5000 0.5000

# 2
# Cs2KHgPb | Alexandria via LeMat-Bulk | GGA-PBE | optimized geometry
# polymorph energy (0 for the lowest one): 52 meV/atom
data_Cs2KHgPb
_chemical_formula_sum 'Cs2 K1 Hg1 Pb1'
_symmetry_space_group_name_H-M 'P 1'
_symmetry_Int_Tables_number 1
_cell_length_a 7.8460
_cell_length_b 7.8460
_cell_length_c 5.6651
_cell_angle_alpha 90.00
_cell_angle_beta 90.00
_cell_angle_gamma 90.00
loop_
_symmetry_equiv_pos_as_xyz
'x,y,z'
loop_
_atom_site_label
_atom_site_type_symbol
_atom_site_fract_x
_atom_site_fract_y
_atom_site_fract_z
Cs1 Cs 0.0000 0.5000 0.0000
Cs2 Cs 0.5000 0.0000 0.0000
K1 K 0.0000 0.0000 0.5000
Hg1 Hg 0.5000 0.5000 0.5000
Pb1 Pb 0.5000 0.5000 0.0000

# 3
Entry from Alexandria via LeMat-Bulk: a relaxed CsK2Hg7Pd2 crystal (GGA-PBE).

Geometry as CIF:
```
data_CsK2Hg7Pd2
_chemical_formula_sum 'Cs1 K2 Hg7 Pd2'
_symmetry_space_group_name_H-M 'P 1'
_symmetry_Int_Tables_number 1
_cell_length_a 5.4120
_cell_length_b 5.4120
_cell_length_c 14.7083
_cell_angle_alpha 100.40
_cell_angle_beta 100.40
_cell_angle_gamma 89.92
loop_
_symmetry_equiv_pos_as_xyz
'x,y,z'
loop_
_atom_site_label
_atom_site_type_symbol
_atom_site_fract_x
_atom_site_fract_y
_atom_site_fract_z
Cs1 Cs 0.0000 0.0000 0.0000
K1 K 0.1853 0.1853 0.3691
K2 K 0.8147 0.8147 0.6309
Hg1 Hg 0.0985 0.5996 0.2001
Hg2 Hg 0.3023 0.3023 0.6122
Hg3 Hg 0.4004 0.9015 0.7999
Hg4 Hg 0.5000 0.5000 0.0000
Hg5 Hg 0.5996 0.0985 0.2001
Hg6 Hg 0.6977 0.6977 0.3878
Hg7 Hg 0.9015 0.4004 0.7999
Pd1 Pd 0.4048 0.4048 0.8064
Pd2 Pd 0.5952 0.5952 0.1936
```

# 4
# CsKHg2Pd | Alexandria via LeMat-Bulk | GGA-PBE | optimized geometry
# polymorph energy (0 for the lowest one): 0 meV/atom
data_CsKHg2Pd
_chemical_formula_sum 'Cs1 K1 Hg2 Pd1'
_symmetry_space_group_name_H-M 'P 1'
_symmetry_Int_Tables_number 1
_cell_length_a 5.5504
_cell_length_b 5.5504
_cell_length_c 5.8504
_cell_angle_alpha 90.00
_cell_angle_beta 90.00
_cell_angle_gamma 90.00
loop_
_symmetry_equiv_pos_as_xyz
'x,y,z'
loop_
_atom_site_label
_atom_site_type_symbol
_atom_site_fract_x
_atom_site_fract_y
_atom_site_fract_z
Cs1 Cs 0.0000 0.0000 0.0000
K1 K 0.5000 0.5000 0.0000
Hg1 Hg 0.0000 0.5000 0.5000
Hg2 Hg 0.5000 0.0000 0.5000
Pd1 Pd 0.5000 0.5000 0.5000

# 5
# CsK2HgPd | Alexandria via LeMat-Bulk | GGA-PBE | optimized geometry
# polymorph energy (0 for the lowest one): 93 meV/atom
data_CsK2HgPd
_chemical_formula_sum 'Cs1 K2 Hg1 Pd1'
_symmetry_space_group_name_H-M 'P 1'
_symmetry_Int_Tables_number 1
_cell_length_a 6.6148
_cell_length_b 6.6148
_cell_length_c 5.3400
_cell_angle_alpha 90.00
_cell_angle_beta 90.00
_cell_angle_gamma 90.00
loop_
_symmetry_equiv_pos_as_xyz
'x,y,z'
loop_
_atom_site_label
_atom_site_type_symbol
_atom_site_fract_x
_atom_site_fract_y
_atom_site_fract_z
Cs1 Cs 0.0000 0.0000 0.0000
K1 K 0.0000 0.5000 0.5000
K2 K 0.5000 0.0000 0.5000
Hg1 Hg 0.5000 0.5000 0.5000
Pd1 Pd 0.5000 0.5000 0.0000

# 6
Entry from Alexandria via LeMat-Bulk: a relaxed Cs2KHg6Pd crystal (GGA-PBE).

Geometry as CIF:
```
data_Cs2KHg6Pd
_chemical_formula_sum 'Cs2 K1 Hg6 Pd1'
_symmetry_space_group_name_H-M 'P 1'
_symmetry_Int_Tables_number 1
_cell_length_a 7.6792
_cell_length_b 7.6792
_cell_length_c 6.9974
_cell_angle_alpha 90.00
_cell_angle_beta 90.00
_cell_angle_gamma 120.00
loop_
_symmetry_equiv_pos_as_xyz
'x,y,z'
loop_
_atom_site_label
_atom_site_type_symbol
_atom_site_fract_x
_atom_site_fract_y
_atom_site_fract_z
Cs1 Cs 0.3333 0.6667 0.1634
Cs2 Cs 0.6667 0.3333 0.8366
K1 K 0.0000 0.0000 0.0000
Hg1 Hg 0.1953 0.3906 0.6584
Hg2 Hg 0.1953 0.8047 0.6584
Hg3 Hg 0.3906 0.1953 0.3416
Hg4 Hg 0.6094 0.8047 0.6584
Hg5 Hg 0.8047 0.1953 0.3416
Hg6 Hg 0.8047 0.6094 0.3416
Pd1 Pd 0.0000 0.0000 0.5000
```

# 7
# CsK2HgPd | Alexandria via LeMat-Bulk | GGA-PBE | optimized geometry
# polymorph energy (0 for the lowest one): 0 meV/atom
data_CsK2HgPd
_chemical_formula_sum 'Cs1 K2 Hg1 Pd1'
_symmetry_space_group_name_H-M 'P 1'
_symmetry_Int_Tables_number 1
_cell_length_a 6.2636
_cell_length_b 6.2636
_cell_length_c 5.5622
_cell_angle_alpha 90.00
_cell_angle_beta 90.00
_cell_angle_gamma 90.00
loop_
_symmetry_equiv_pos_as_xyz
'x,y,z'
loop_
_atom_site_label
_atom_site_type_symbol
_atom_site_fract_x
_atom_site_fract_y
_atom_site_fract_z
Cs1 Cs 0.0000 0.0000 0.0000
K1 K 0.0000 0.5000 0.5000
K2 K 0.5000 0.0000 0.5000
Hg1 Hg 0.5000 0.5000 0.0000
Pd1 Pd 0.5000 0.5000 0.5000

# 8
# CsKHg2Pd | Alexandria via LeMat-Bulk | GGA-PBE | optimized geometry
# polymorph energy (0 for the lowest one): 84 meV/atom
data_CsKHg2Pd
_chemical_formula_sum 'Cs1 K1 Hg2 Pd1'
_symmetry_space_group_name_H-M 'P 1'
_symmetry_Int_Tables_number 1
_cell_length_a 5.5334
_cell_length_b 5.5334
_cell_length_c 6.1400
_cell_angle_alpha 90.00
_cell_angle_beta 90.00
_cell_angle_gamma 90.00
loop_
_symmetry_equiv_pos_as_xyz
'x,y,z'
loop_
_atom_site_label
_atom_site_type_symbol
_atom_site_fract_x
_atom_site_fract_y
_atom_site_fract_z
Cs1 Cs 0.0000 0.0000 0.0000
K1 K 0.5000 0.5000 0.0000
Hg1 Hg 0.0000 0.5000 0.5000
Hg2 Hg 0.5000 0.0000 0.5000
Pd1 Pd 0.0000 0.0000 0.5000

# 9
Entry from Alexandria via LeMat-Bulk: a relaxed Cs2KHg2Pd crystal (GGA-PBE).

Geometry as CIF:
```
data_Cs2KHg2Pd
_chemical_formula_sum 'Cs4 K2 Hg4 Pd2'
_symmetry_space_group_name_H-M 'P 1'
_symmetry_Int_Tables_number 1
_cell_length_a 9.6799
_cell_length_b 9.6799
_cell_length_c 9.6799
_cell_angle_alpha 122.78
_cell_angle_beta 76.45
_cell_angle_gamma 133.86
loop_
_symmetry_equiv_pos_as_xyz
'x,y,z'
loop_
_atom_site_label
_atom_site_type_symbol
_atom_site_fract_x
_atom_site_fract_y
_atom_site_fract_z
Cs1 Cs 0.1769 0.1668 0.3437
Cs2 Cs 0.3231 0.6668 0.9899
Cs3 Cs 0.6769 0.3332 0.0101
Cs4 Cs 0.8231 0.8332 0.6563
K1 K 0.2500 0.7500 0.5000
K2 K 0.7500 0.2500 0.5000
Hg1 Hg 0.0698 0.8037 0.8736
Hg2 Hg 0.4302 0.3037 0.7339
Hg3 Hg 0.5698 0.6963 0.2661
Hg4 Hg 0.9302 0.1963 0.1264
Pd1 Pd 0.2500 0.2500 0.0000
Pd2 Pd 0.7500 0.7500 0.0000
```

# 10
# CsK2HgPd | Alexandria via LeMat-Bulk | GGA-PBE | optimized geometry
# polymorph energy (0 for the lowest one): 84 meV/atom
data_CsK2HgPd
_chemical_formula_sum 'Cs1 K2 Hg1 Pd1'
_symmetry_space_group_name_H-M 'P 1'
_symmetry_Int_Tables_number 1
_cell_length_a 6.2420
_cell_length_b 6.2420
_cell_length_c 6.7335
_cell_angle_alpha 90.00
_cell_angle_beta 90.00
_cell_angle_gamma 90.00
loop_
_symmetry_equiv_pos_as_xyz
'x,y,z'
loop_
_atom_site_label
_atom_site_type_symbol
_atom_site_fract_x
_atom_site_fract_y
_atom_site_fract_z
Cs1 Cs 0.0000 0.0000 0.0000
K1 K 0.0000 0.5000 0.5000
K2 K 0.5000 0.0000 0.5000
Hg1 Hg 0.5000 0.5000 0.0000
Pd1 Pd 0.0000 0.0000 0.5000

Number 1: formation energy -17 meV/atom. Number 2: formation energy 36 meV/atom. Number 3: formation energy -244 meV/atom. Number 4: formation energy -177 meV/atom. Number 5: formation energy 45 meV/atom. Number 6: formation energy -239 meV/atom. Number 7: formation energy -48 meV/atom. Number 8: formation energy -93 meV/atom. Number 9: formation energy -171 meV/atom. Number 10: formation energy 36 meV/atom.